Crystalline NaCa2F5 at its relaxed geometry. Source: the Alexandria database, functional PBE.

abc: 3.5187 5.7251 11.9958
angles: 90.00 90.00 90.00
Space group Immm (No. 71)
One atom of each set of equivalent atoms:
Na  0.0000  0.0000  0.0000 [2 per cell]
Ca  0.0000  0.5000  0.1813 [4 per cell]
F  0.0000  0.2629  0.3420 [8 per cell]
F  0.0000  0.5000  0.0000 [2 per cell]

Properties
- Energy relative to the elements, uncorrected: -2706 kJ/mol of formula units
- V: 242 Å³/cell

=====

Crystalline Zr2PbSe at its relaxed geometry. Source: the Alexandria database, functional PBE.

abc: 3.3583 3.3583 7.6574
angles: 90.00 90.00 90.00
Space group P4/mmm (No. 123)
One atom of each set of equivalent atoms:
Zr  0.0000  0.0000  0.2136 [2 per cell]
Pb  0.5000  0.5000  0.5000 [1 per cell]
Se  0.5000  0.5000  0.0000 [1 per cell]

Properties
- Energy relative to the elements, uncorrected: -237 kJ/mol of formula units
- ΔE to the lowest computed polymorph: 4 kJ/mol of formula units
- V: 86 Å³/cell

=====

Crystalline Tb8Sm6Dy at its relaxed geometry. Source: the Alexandria database, functional PBE.

abc: 9.1147 9.1147 20.7558
angles: 90.00 90.00 120.00
Space group R-3 (No. 148, hexagonal axes)
One atom of each set of equivalent atoms:
Tb  0.0000  0.0000  0.0769 [6 per cell]
Tb  0.0811  0.5538  0.3073 [18 per cell]
Sm  0.0606  0.2477  0.2087 [18 per cell]
Dy  0.0000  0.0000  0.5000 [3 per cell]

Properties
- ΔE to the lowest computed polymorph: 0 kJ/mol of formula units
- V: 1493 Å³/cell

=====

Crystalline LaNdRhAu at its relaxed geometry. Source: the Alexandria database, functional PBE.

abc: 4.5161 4.0350 11.1339
angles: 90.00 90.00 90.00
Space group Amm2 (No. 38)
One atom of each set of equivalent atoms:
La  0.0000  0.0000  0.0000 [2 per cell]
Nd  0.5000  0.0000  0.2779 [2 per cell]
Rh  0.5000  0.0000  0.5395 [2 per cell]
Au  0.0000  0.0000  0.7179 [2 per cell]

Properties
- ΔE to the lowest computed polymorph: 0 kJ/mol of formula units
- V: 203 Å³/cell

=====

Crystalline La6Ga2SI3 at its relaxed geometry. Source: the Alexandria database, functional PBE.

abc: 7.6034 13.1452 8.2165
angles: 90.00 107.89 90.00
Space group C2/m (No. 12)
One atom of each set of equivalent atoms:
La  0.2318  0.1634  0.2052 [8 per cell]
La  0.2418  0.5000  0.2062 [4 per cell]
Ga  0.0000  0.3337  0.0000 [4 per cell]
S  0.0000  0.0000  0.0000 [2 per cell]
I  0.0000  0.1702  0.5000 [4 per cell]
I  0.0000  0.5000  0.5000 [2 per cell]

Properties
- Energy relative to the elements, uncorrected: -1283 kJ/mol of formula units
- V: 781 Å³/cell

=====

Crystalline TcWN at its relaxed geometry. Source: the Alexandria database, functional PBE.

abc: 2.8629 2.8629 15.1821
angles: 90.00 90.00 120.00
Space group R3m (No. 160, hexagonal axes)
One atom of each set of equivalent atoms:
Tc  0.0000  0.0000  0.0000 [3 per cell]
W  0.0000  0.0000  0.8126 [3 per cell]
N  0.0000  0.0000  0.2353 [3 per cell]

Properties
- Energy relative to the elements, uncorrected: -38 kJ/mol of formula units
- ΔE to the lowest computed polymorph: 0 kJ/mol of formula units
- V: 108 Å³/cell

=====

Crystalline VGaSi2Pd at its relaxed geometry. Source: the Alexandria database, functional PBE.

abc: 4.6072 4.6072 4.7207
angles: 90.00 90.00 90.00
Space group P4/mmm (No. 123)
One atom of each set of equivalent atoms:
V  0.0000  0.0000  0.0000 [1 per cell]
Ga  0.5000  0.5000  0.5000 [1 per cell]
Si  0.0000  0.5000  0.0000 [2 per cell]
Pd  0.0000  0.0000  0.5000 [1 per cell]

Properties
- Energy relative to the elements, uncorrected: 290 kJ/mol of formula units
- V: 100 Å³/cell

=====

Crystalline Ac2SiH at its relaxed geometry. Source: the Alexandria database, functional PBE.

abc: 6.8963 6.8963 8.5840
angles: 90.00 90.00 120.00
Space group P3_121 (No. 152)
One atom of each set of equivalent atoms:
Ac  0.0947  0.3855  0.3882 [6 per cell]
Si  0.0000  0.6104  0.6667 [3 per cell]
H  0.0000  0.5507  0.1667 [3 per cell]

Properties
- ΔE to the lowest computed polymorph: 34 kJ/mol of formula units
- V: 354 Å³/cell